[1]
# InCuNiAu | Alexandria via LeMat-Bulk | PBE-GGA | optimized geometry
# Volume, Å³ per cell: 245
# Calculated formation energy, meV/atom: -61.7
# VASP energy, eV/atom: -4.04
# Size of the total moment, μB/atom: 0.000
data_InCuNiAu
_chemical_formula_sum 'In4 Cu4 Ni4 Au4'
_cell_length_a 6.261
_cell_length_b 6.261
_cell_length_c 6.261
_cell_angle_alpha 90.00
_cell_angle_beta 90.00
_cell_angle_gamma 90.00
_symmetry_space_group_name_H-M 'F -4 3 m'
_symmetry_Int_Tables_number 216
_symmetry_space_group_name_Hall 'F -4 2 3'
loop_
_atom_site_label
_atom_site_fract_x
_atom_site_fract_y
_atom_site_fract_z
In1 0.000 0.000 0.000
Cu1 0.250 0.250 0.250
Ni1 0.250 0.250 0.750
Au1 0.000 0.000 0.500

---

[2]
# InCuAuO2 | Alexandria via LeMat-Bulk | PBE-GGA | optimized geometry
# Volume, Å³ per cell: 93
# VASP energy, eV/atom: -3.50
# Size of the total moment, μB/atom: 0.000
# Energy relative to the elements, uncorrected, meV per atom: 505
data_InCuAuO2
_chemical_formula_sum 'In1 Cu1 Au1 O2'
_cell_length_a 3.952
_cell_length_b 3.952
_cell_length_c 5.925
_cell_angle_alpha 90.00
_cell_angle_beta 90.00
_cell_angle_gamma 90.00
_symmetry_space_group_name_H-M 'P 4/m m m'
_symmetry_Int_Tables_number 123
_symmetry_space_group_name_Hall '-P 4 2'
loop_
_atom_site_label
_atom_site_fract_x
_atom_site_fract_y
_atom_site_fract_z
In1 0.000 0.000 0.000
Cu1 0.500 0.500 0.000
Au1 0.000 0.000 0.500
O1 0.000 0.500 0.500

---

[3]
# PaInCuAu | Alexandria via LeMat-Bulk | PBE-GGA | optimized geometry
# Volume, Å³ per cell: 328
# Calculated formation energy, meV/atom: -228.3
# VASP energy, eV/atom: -5.13
# Size of the total moment, μB/atom: 0.000
data_PaInCuAu
_chemical_formula_sum 'Pa4 In4 Cu4 Au4'
_cell_length_a 6.899
_cell_length_b 6.899
_cell_length_c 6.899
_cell_angle_alpha 90.00
_cell_angle_beta 90.00
_cell_angle_gamma 90.00
_symmetry_space_group_name_H-M 'F -4 3 m'
_symmetry_Int_Tables_number 216
_symmetry_space_group_name_Hall 'F -4 2 3'
loop_
_atom_site_label
_atom_site_fract_x
_atom_site_fract_y
_atom_site_fract_z
Pa1 0.000 0.000 0.000
In1 0.000 0.000 0.500
Cu1 0.250 0.250 0.250
Au1 0.250 0.250 0.750

---

[4]
# In3CuPd2Au3 | Alexandria via LeMat-Bulk | PBE-GGA | optimized geometry
# Volume, Å³ per cell: 165
# Calculated formation energy, meV/atom: -218.6
# VASP energy, eV/atom: -3.83
# Size of the total moment, μB/atom: 0.000
data_In3CuPd2Au3
_chemical_formula_sum 'In3 Cu1 Pd2 Au3'
_cell_length_a 7.5966
_cell_length_b 7.5966
_cell_length_c 3.3100
_cell_angle_alpha 90.00
_cell_angle_beta 90.00
_cell_angle_gamma 120.00
_symmetry_space_group_name_H-M 'P -6 2 m'
_symmetry_Int_Tables_number 189
_symmetry_space_group_name_Hall 'P -6 -2'
loop_
_atom_site_label
_atom_site_fract_x
_atom_site_fract_y
_atom_site_fract_z
In1 0.0000 0.3922 0.0000
Cu1 0.0000 0.0000 0.0000
Pd1 0.3333 0.6667 0.5000
Au1 0.0000 0.7334 0.5000

---

[5]
# In3Cu2PdAu3 | Alexandria via LeMat-Bulk | PBE-GGA | optimized geometry
# Volume, Å³ per cell: 162
# Calculated formation energy, meV/atom: -139.5
# VASP energy, eV/atom: -3.63
# Size of the total moment, μB/atom: 0.000
data_In3Cu2PdAu3
_chemical_formula_sum 'In3 Cu2 Pd1 Au3'
_cell_length_a 7.6950
_cell_length_b 7.6950
_cell_length_c 3.1516
_cell_angle_alpha 90.00
_cell_angle_beta 90.00
_cell_angle_gamma 120.00
_symmetry_space_group_name_H-M 'P -6 2 m'
_symmetry_Int_Tables_number 189
_symmetry_space_group_name_Hall 'P -6 -2'
loop_
_atom_site_label
_atom_site_fract_x
_atom_site_fract_y
_atom_site_fract_z
In1 0.0000 0.7080 0.0000
Cu1 0.3333 0.6667 0.0000
Pd1 0.0000 0.0000 0.5000
Au1 0.0000 0.3895 0.5000

---

[6]
# InCuPdAu | Alexandria via LeMat-Bulk | PBE-GGA | optimized geometry
# Volume, Å³ per cell: 66
# Calculated formation energy, meV/atom: -246.7
# VASP energy, eV/atom: -4.07
# Size of the total moment, μB/atom: 0.000
data_InCuPdAu
_chemical_formula_sum 'In1 Cu1 Pd1 Au1'
_cell_length_a 3.971
_cell_length_b 3.987
_cell_length_c 4.198
_cell_angle_alpha 90.00
_cell_angle_beta 90.00
_cell_angle_gamma 90.00
_symmetry_space_group_name_H-M 'P m m m'
_symmetry_Int_Tables_number 47
_symmetry_space_group_name_Hall '-P 2 2'
loop_
_atom_site_label
_atom_site_fract_x
_atom_site_fract_y
_atom_site_fract_z
In1 0.000 0.000 0.000
Cu1 0.000 0.500 0.500
Pd1 0.500 0.500 0.000
Au1 0.500 0.000 0.500

---

[7]
# Pm2InCuAu6 | Alexandria via LeMat-Bulk | PBE-GGA | optimized geometry
# Volume, Å³ per cell: 226
# Calculated formation energy, meV/atom: -457.4
# VASP energy, eV/atom: -4.06
# Size of the total moment, μB/atom: 0.000
data_Pm2InCuAu6
_chemical_formula_sum 'Pm2 In1 Cu1 Au6'
_cell_length_a 4.647
_cell_length_b 6.885
_cell_length_c 8.236
_cell_angle_alpha 67.00
_cell_angle_beta 89.78
_cell_angle_gamma 70.34
_symmetry_space_group_name_H-M 'P -1'
_symmetry_Int_Tables_number 2
_symmetry_space_group_name_Hall '-P 1'
loop_
_atom_site_label
_atom_site_fract_x
_atom_site_fract_y
_atom_site_fract_z
Pm1 0.211 0.074 0.282
In1 0.000 0.500 0.500
Cu1 0.500 0.500 0.000
Au1 0.052 0.397 0.866
Au2 0.296 0.908 0.964
Au3 0.417 0.666 0.637

---

[8]
# In2CuPtAu | Alexandria via LeMat-Bulk | PBE-GGA | optimized geometry
# Volume, Å³ per cell: 127
# Calculated formation energy, meV/atom: 184.4
# VASP energy, eV/atom: -3.59
# Size of the total moment, μB/atom: 0.000
data_In2CuPtAu
_chemical_formula_sum 'In2 Cu1 Pt1 Au1'
_cell_length_a 5.138
_cell_length_b 5.138
_cell_length_c 4.817
_cell_angle_alpha 90.00
_cell_angle_beta 90.00
_cell_angle_gamma 90.00
_symmetry_space_group_name_H-M 'P 4/m m m'
_symmetry_Int_Tables_number 123
_symmetry_space_group_name_Hall '-P 4 2'
loop_
_atom_site_label
_atom_site_fract_x
_atom_site_fract_y
_atom_site_fract_z
In1 0.000 0.500 0.000
Cu1 0.000 0.000 0.500
Pt1 0.000 0.000 0.000
Au1 0.500 0.500 0.500

---

[9]
# PuInCuAu | Alexandria via LeMat-Bulk | PBE-GGA | optimized geometry
# Volume, Å³ per cell: 335
# Calculated formation energy, meV/atom: -191.6
# VASP energy, eV/atom: -6.30
# Size of the total moment, μB/atom: 1.343
data_PuInCuAu
_chemical_formula_sum 'Pu4 In4 Cu4 Au4'
_cell_length_a 6.943
_cell_length_b 6.943
_cell_length_c 6.943
_cell_angle_alpha 90.00
_cell_angle_beta 90.00
_cell_angle_gamma 90.00
_symmetry_space_group_name_H-M 'F -4 3 m'
_symmetry_Int_Tables_number 216
_symmetry_space_group_name_Hall 'F -4 2 3'
loop_
_atom_site_label
_atom_site_fract_x
_atom_site_fract_y
_atom_site_fract_z
Pu1 0.000 0.000 0.000
In1 0.000 0.000 0.500
Cu1 0.250 0.250 0.750
Au1 0.250 0.250 0.250

---

[10]
# InCuRh2Au | Alexandria via LeMat-Bulk | PBE-GGA | optimized geometry
# Volume, Å³ per cell: 111
# Calculated formation energy, meV/atom: 1202.0
# VASP energy, eV/atom: -3.76
# Size of the total moment, μB/atom: 0.172
data_InCuRh2Au
_chemical_formula_sum 'In1 Cu1 Rh2 Au1'
_cell_length_a 4.886
_cell_length_b 4.886
_cell_length_c 4.649
_cell_angle_alpha 90.00
_cell_angle_beta 90.00
_cell_angle_gamma 90.00
_symmetry_space_group_name_H-M 'P 4/m m m'
_symmetry_Int_Tables_number 123
_symmetry_space_group_name_Hall '-P 4 2'
loop_
_atom_site_label
_atom_site_fract_x
_atom_site_fract_y
_atom_site_fract_z
In1 0.000 0.000 0.000
Cu1 0.000 0.000 0.500
Rh1 0.000 0.500 0.000
Au1 0.500 0.500 0.500

---

[11]
# InCu7Sb2Au2 | Alexandria via LeMat-Bulk | PBE-GGA | optimized geometry
# Volume, Å³ per cell: 401
# VASP energy, eV/atom: -3.75
# Size of the total moment, μB/atom: 0.000
# Energy relative to the elements, uncorrected, meV per atom: 100
data_InCu7Sb2Au2
_chemical_formula_sum 'In2 Cu14 Sb4 Au4'
_cell_length_a 5.294
_cell_length_b 5.294
_cell_length_c 14.541
_cell_angle_alpha 90.00
_cell_angle_beta 100.25
_cell_angle_gamma 90.00
_symmetry_space_group_name_H-M 'C 1 2/m 1'
_symmetry_Int_Tables_number 12
_symmetry_space_group_name_Hall '-C 2y'
loop_
_atom_site_label
_atom_site_fract_x
_atom_site_fract_y
_atom_site_fract_z
In1 0.000 0.000 0.000
Cu1 0.000 0.500 0.000
Cu2 0.180 0.251 0.861
Cu3 0.230 0.500 0.460
Sb1 0.179 0.000 0.361
Au1 0.136 0.500 0.272

---

[12]
# In2Cu7Sb2Au | Alexandria via LeMat-Bulk | PBE-GGA | optimized geometry
# Volume, Å³ per cell: 425
# VASP energy, eV/atom: -3.70
# Size of the total moment, μB/atom: 0.000
# Energy relative to the elements, uncorrected, meV per atom: 104
data_In2Cu7Sb2Au
_chemical_formula_sum 'In4 Cu14 Sb4 Au2'
_cell_length_a 5.255
_cell_length_b 5.234
_cell_length_c 15.561
_cell_angle_alpha 90.00
_cell_angle_beta 97.25
_cell_angle_gamma 90.00
_symmetry_space_group_name_H-M 'C 1 2/m 1'
_symmetry_Int_Tables_number 12
_symmetry_space_group_name_Hall '-C 2y'
loop_
_atom_site_label
_atom_site_fract_x
_atom_site_fract_y
_atom_site_fract_z
In1 0.092 0.000 0.260
Cu1 0.000 0.000 0.000
Cu2 0.176 0.000 0.445
Cu3 0.204 0.251 0.874
Sb1 0.156 0.500 0.387
Au1 0.000 0.500 0.000

---

[13]
# Sc2InCuAu | Alexandria via LeMat-Bulk | PBE-GGA | optimized geometry
# Volume, Å³ per cell: 138
# Calculated formation energy, meV/atom: 347.7
# VASP energy, eV/atom: -4.21
# Size of the total moment, μB/atom: 0.004
data_Sc2InCuAu
_chemical_formula_sum 'Sc2 In1 Cu1 Au1'
_cell_length_a 5.207
_cell_length_b 5.207
_cell_length_c 5.084
_cell_angle_alpha 90.00
_cell_angle_beta 90.00
_cell_angle_gamma 90.00
_symmetry_space_group_name_H-M 'P 4/m m m'
_symmetry_Int_Tables_number 123
_symmetry_space_group_name_Hall '-P 4 2'
loop_
_atom_site_label
_atom_site_fract_x
_atom_site_fract_y
_atom_site_fract_z
Sc1 0.000 0.500 0.000
In1 0.000 0.000 0.500
Cu1 0.500 0.500 0.500
Au1 0.000 0.000 0.000

---

[14]
# SmInCuAu | Alexandria via LeMat-Bulk | PBE-GGA | optimized geometry
# Volume, Å³ per cell: 334
# Calculated formation energy, meV/atom: -491.6
# VASP energy, eV/atom: -4.20
# Size of the total moment, μB/atom: 0.000
data_SmInCuAu
_chemical_formula_sum 'Sm4 In4 Cu4 Au4'
_cell_length_a 6.935
_cell_length_b 6.935
_cell_length_c 6.935
_cell_angle_alpha 90.00
_cell_angle_beta 90.00
_cell_angle_gamma 90.00
_symmetry_space_group_name_H-M 'F -4 3 m'
_symmetry_Int_Tables_number 216
_symmetry_space_group_name_Hall 'F -4 2 3'
loop_
_atom_site_label
_atom_site_fract_x
_atom_site_fract_y
_atom_site_fract_z
Sm1 0.000 0.000 0.000
In1 0.000 0.000 0.500
Cu1 0.250 0.250 0.250
Au1 0.250 0.250 0.750

---

[15]
# In2Cu7Sn2Au | Alexandria via LeMat-Bulk | PBE-GGA | optimized geometry
# Volume, Å³ per cell: 424
# Calculated formation energy, meV/atom: 99.3
# VASP energy, eV/atom: -3.69
# Size of the total moment, μB/atom: 0.000
data_In2Cu7Sn2Au
_chemical_formula_sum 'In4 Cu14 Sn4 Au2'
_cell_length_a 5.281
_cell_length_b 5.253
_cell_length_c 15.378
_cell_angle_alpha 90.00
_cell_angle_beta 95.96
_cell_angle_gamma 90.00
_symmetry_space_group_name_H-M 'C 1 2/m 1'
_symmetry_Int_Tables_number 12
_symmetry_space_group_name_Hall '-C 2y'
loop_
_atom_site_label
_atom_site_fract_x
_atom_site_fract_y
_atom_site_fract_z
In1 0.076 0.000 0.260
Cu1 0.000 0.000 0.000
Cu2 0.156 0.000 0.443
Cu3 0.216 0.251 0.873
Sn1 0.136 0.500 0.389
Au1 0.000 0.500 0.000

---

[16]
# InCu7Sn2Au2 | Alexandria via LeMat-Bulk | PBE-GGA | optimized geometry
# Volume, Å³ per cell: 400
# Calculated formation energy, meV/atom: 67.6
# VASP energy, eV/atom: -3.76
# Size of the total moment, μB/atom: 0.000
data_InCu7Sn2Au2
_chemical_formula_sum 'In2 Cu14 Sn4 Au4'
_cell_length_a 5.277
_cell_length_b 5.281
_cell_length_c 14.524
_cell_angle_alpha 90.00
_cell_angle_beta 99.23
_cell_angle_gamma 90.00
_symmetry_space_group_name_H-M 'C 1 2/m 1'
_symmetry_Int_Tables_number 12
_symmetry_space_group_name_Hall '-C 2y'
loop_
_atom_site_label
_atom_site_fract_x
_atom_site_fract_y
_atom_site_fract_z
In1 0.000 0.000 0.000
Cu1 0.000 0.500 0.000
Cu2 0.184 0.252 0.861
Cu3 0.221 0.500 0.461
Sn1 0.168 0.000 0.358
Au1 0.130 0.500 0.273

---

[17]
# Sr2InCuAu6 | Alexandria via LeMat-Bulk | PBE-GGA | optimized geometry
# Volume, Å³ per cell: 1055
# Calculated formation energy, meV/atom: -279.1
# VASP energy, eV/atom: -3.27
# Size of the total moment, μB/atom: 0.000
data_Sr2InCuAu6
_chemical_formula_sum 'Sr8 In4 Cu4 Au24'
_cell_length_a 10.179
_cell_length_b 10.179
_cell_length_c 10.179
_cell_angle_alpha 90.00
_cell_angle_beta 90.00
_cell_angle_gamma 90.00
_symmetry_space_group_name_H-M 'F m -3 m'
_symmetry_Int_Tables_number 225
_symmetry_space_group_name_Hall '-F 4 2 3'
loop_
_atom_site_label
_atom_site_fract_x
_atom_site_fract_y
_atom_site_fract_z
Sr1 0.250 0.250 0.250
In1 0.000 0.000 0.000
Cu1 0.000 0.000 0.500
Au1 0.000 0.000 0.260

---

[18]
# SrIn2CuAu4 | Alexandria via LeMat-Bulk | PBE-GGA | optimized geometry
# Volume, Å³ per cell: 528
# Calculated formation energy, meV/atom: -330.7
# VASP energy, eV/atom: -3.38
# Size of the total moment, μB/atom: 0.000
data_SrIn2CuAu4
_chemical_formula_sum 'Sr3 In6 Cu3 Au12'
_cell_length_a 4.6620
_cell_length_b 4.6620
_cell_length_c 28.0300
_cell_angle_alpha 90.00
_cell_angle_beta 90.00
_cell_angle_gamma 120.00
_symmetry_space_group_name_H-M 'R -3 m'
_symmetry_Int_Tables_number 166
_symmetry_space_group_name_Hall '-R 3 2"'
loop_
_atom_site_label
_atom_site_fract_x
_atom_site_fract_y
_atom_site_fract_z
Sr1 0.0000 0.0000 0.0000
In1 0.0000 0.0000 0.2410
Cu1 0.0000 0.0000 0.5000
Au1 0.0000 0.0000 0.1380
Au2 0.0000 0.0000 0.4014

---

[19]
# In2CuTe4Au | Alexandria via LeMat-Bulk | PBE-GGA | optimized geometry
# Volume, Å³ per cell: 1051
# VASP energy, eV/atom: -3.43
# Size of the total moment, μB/atom: 0.000
# Energy relative to the elements, uncorrected, meV per atom: -254
data_In2CuTe4Au
_chemical_formula_sum 'In8 Cu4 Te16 Au4'
_cell_length_a 9.083
_cell_length_b 9.084
_cell_length_c 12.735
_cell_angle_alpha 90.00
_cell_angle_beta 90.00
_cell_angle_gamma 90.00
_symmetry_space_group_name_H-M 'F m m 2'
_symmetry_Int_Tables_number 42
_symmetry_space_group_name_Hall 'F 2 -2'
loop_
_atom_site_label
_atom_site_fract_x
_atom_site_fract_y
_atom_site_fract_z
In1 0.250 0.250 0.000
Cu1 0.000 0.000 0.250
Te1 0.000 0.239 0.362
Te2 0.239 0.000 0.138
Au1 0.000 0.000 0.750

---

[20]
# Zn2In2CuAu5 | Alexandria via LeMat-Bulk | PBE-GGA | optimized geometry
# Volume, Å³ per cell: 373
# Calculated formation energy, meV/atom: -98.3
# VASP energy, eV/atom: -2.95
# Size of the total moment, μB/atom: 0.000
data_Zn2In2CuAu5
_chemical_formula_sum 'Zn4 In4 Cu2 Au10'
_cell_length_a 10.145
_cell_length_b 10.145
_cell_length_c 3.619
_cell_angle_alpha 90.00
_cell_angle_beta 90.00
_cell_angle_gamma 90.00
_symmetry_space_group_name_H-M 'P 4/m b m'
_symmetry_Int_Tables_number 127
_symmetry_space_group_name_Hall '-P 4 2ab'
loop_
_atom_site_label
_atom_site_fract_x
_atom_site_fract_y
_atom_site_fract_z
Zn1 0.140 0.360 0.000
In1 0.172 0.672 0.000
Cu1 0.000 0.000 0.000
Au1 0.000 0.500 0.500
Au2 0.016 0.201 0.500